## Zn2SbP2 (GGA-PBE)

Data for Zn2SbP2 after structural relaxation.

Properties
E_form (uncorrected)   0.3643 eV per atom
Crystal system   tetragonal
E   -3.134 eV/atom
Density   5.6 g cm⁻³

a = 4.131 Å, b = 4.131 Å, c = 6.170 Å
α = 70.44°, β = 70.44°, γ = 90.00°
Atoms (fractional coordinates):
Sb (0.000, 0.000, 0.000)
Zn (0.615, 0.615, 0.770)
Zn (0.385, 0.385, 0.230)
P (0.250, 0.750, 0.500)
P (0.750, 0.250, 0.500)

## ZnSbP2 (GGA-PBE)

Data for ZnSbP2 after structural relaxation.

Properties
E_form (uncorrected)   0.4953 eV per atom
Crystal system   cubic
E   -3.559 eV/atom
Density   5.6 g cm⁻³

a = 4.711 Å, b = 4.711 Å, c = 4.711 Å
α = 60.00°, β = 60.00°, γ = 60.00°
Atoms (fractional coordinates):
P (0.750, 0.750, 0.750)
P (0.250, 0.250, 0.250)
Zn (0.000, 0.000, 0.000)
Sb (0.500, 0.500, 0.500)

## ZnSbP (GGA-PBE)

Data for ZnSbP after structural relaxation.

Properties
E_form (uncorrected)   0.1468 eV per atom
Crystal system   tetragonal
E   -3.455 eV/atom
Density   5.2 g cm⁻³

a = 6.311 Å, b = 6.311 Å, c = 6.311 Å
α = 148.18°, β = 148.18°, γ = 45.62°
Atoms (fractional coordinates):
Sb (0.314, 0.314, 0.000)
Zn (0.589, 0.589, 0.000)
P (0.097, 0.097, 0.000)

## Zn5Sb2P2 (GGA-PBE)

Data for Zn5Sb2P2 after structural relaxation.

Properties
E_form (uncorrected)   0.0204 eV per atom
Crystal system   triclinic
E   -2.806 eV/atom
Density   5.2 g cm⁻³

a = 4.318 Å, b = 7.967 Å, c = 6.537 Å
α = 111.63°, β = 102.85°, γ = 77.31°
Atoms (fractional coordinates):
Zn (0.213, 0.594, 0.357)
Zn (0.000, 0.000, 0.000)
Zn (0.787, 0.406, 0.643)
Zn (0.578, 0.745, 0.198)
Zn (0.422, 0.255, 0.802)
P (0.033, 0.906, 0.327)
P (0.967, 0.094, 0.673)
Sb (0.759, 0.374, 0.217)
Sb (0.241, 0.626, 0.783)

## ZnSbP (GGA-PBE)

Data for ZnSbP after structural relaxation.

Properties
E_form (uncorrected)   0.1447 eV per atom
Crystal system   cubic
E   -3.457 eV/atom
Density   5.7 g cm⁻³

a = 6.345 Å, b = 6.345 Å, c = 6.345 Å
α = 90.00°, β = 90.00°, γ = 90.00°
Atoms (fractional coordinates):
P (0.625, 0.625, 0.625)
P (0.125, 0.875, 0.375)
P (0.875, 0.375, 0.125)
P (0.375, 0.125, 0.875)
Zn (0.464, 0.964, 0.536)
Zn (0.964, 0.536, 0.464)
Zn (0.036, 0.036, 0.036)
Zn (0.536, 0.464, 0.964)
Sb (0.894, 0.106, 0.606)
Sb (0.606, 0.894, 0.106)
Sb (0.394, 0.394, 0.394)
Sb (0.106, 0.606, 0.894)

## ZrSb2P (GGA-PBE)

Data for ZrSb2P after structural relaxation.

Properties
E_form (uncorrected)   -0.3888 eV per atom
Crystal system   tetragonal
E   -5.939 eV/atom
Density   6.4 g cm⁻³

a = 3.478 Å, b = 3.478 Å, c = 7.798 Å
α = 90.00°, β = 90.00°, γ = 90.00°
Atoms (fractional coordinates):
Sb (0.000, 0.000, 0.959)
Sb (0.500, 0.500, 0.302)
Zr (0.000, 0.000, 0.562)
P (0.500, 0.500, 0.677)

## ZrSbP2 (GGA-PBE)

Data for ZrSbP2 after structural relaxation.

Properties
E_form (uncorrected)   -0.1900 eV per atom
Crystal system   orthorhombic
E   -6.063 eV/atom
Density   6.1 g cm⁻³

a = 4.686 Å, b = 4.686 Å, c = 3.463 Å
α = 90.00°, β = 90.00°, γ = 100.24°
Atoms (fractional coordinates):
P (0.500, 0.500, 0.000)
P (0.000, 0.000, 0.000)
Sb (0.500, 0.000, 0.500)
Zr (0.000, 0.500, 0.500)

## Zr2SbP (GGA-PBE)

Data for Zr2SbP after structural relaxation.

Properties
E_form (uncorrected)   -0.5976 eV per atom
Crystal system   cubic
E   -7.255 eV/atom
Density   6.9 g cm⁻³

a = 4.856 Å, b = 4.856 Å, c = 4.856 Å
α = 60.00°, β = 60.00°, γ = 60.00°
Atoms (fractional coordinates):
Zr (0.250, 0.250, 0.250)
Zr (0.750, 0.750, 0.750)
P (0.000, 0.000, 0.000)
Sb (0.500, 0.500, 0.500)

What did the eighth record say?
## Zr2SbP (GGA-PBE)

Data for Zr2SbP after structural relaxation.

Properties
E_form (uncorrected)   -0.5976 eV per atom
Crystal system   cubic
E   -7.255 eV/atom
Density   6.9 g cm⁻³

a = 4.856 Å, b = 4.856 Å, c = 4.856 Å
α = 60.00°, β = 60.00°, γ = 60.00°
Atoms (fractional coordinates):
Zr (0.250, 0.250, 0.250)
Zr (0.750, 0.750, 0.750)
P (0.000, 0.000, 0.000)
Sb (0.500, 0.500, 0.500)